An optimized crystal structure of Mg2ScAu. Source: Alexandria via LeMat-Bulk, functional GGA-PBE.

Computed properties:
Formation enthalpy at 0 K ... -314.8 meV/atom
Uncorrected energy ... -3.51 eV per atom
Space group ... P4/mmm
DOS at the Fermi energy ... 3.36 states/eV/cell

The structure in extended XYZ format:
```
4
Lattice="-0.404 -2.098 2.637 0.032 -2.658 -2.110 7.126 -0.478 0.710" Properties=species:S:1:pos:R:3 pbc="T T T"
Mg 3.834 -0.257 0.382
Mg 6.856 -0.460 0.683
Au 5.159 -2.737 0.796
Sc 1.596 -2.498 0.441
```